DFT (PBE) results for a geometry-optimized Pm3Ge6Ir5 structure.

The space group is Pmmn (No. 59, origin choice 2) and the conventional cell measures 4.257, 13.043 and 9.281 Å, with angles of 90.00, 90.00 and 90.00 degrees. The asymmetric unit holds Pm at (0.250, 0.050, 0.246), Pm at (0.250, 0.750, 0.259), Ge at (0.250, 0.072, 0.897), Ge at (0.250, 0.250, 0.087), Ge at (0.250, 0.250, 0.454), Ge at (0.250, 0.594, 0.527), Ir at (0.250, 0.094, 0.616), Ir at (0.250, 0.637, 0.972) and Ir at (0.250, 0.750, 0.703).

The calculation puts the formation energy at -0.68 eV/atom. The energy comes out at -6.84 eV/atom.